Material: Mn2ZnPbF8
Method: DFT, PBE with a Hubbard U
State: optimized geometry

Crystal system: monoclinic
Electronic total energy (eV for the cell shown): -64.72
Space-group type: No. 10

a = 5.0871 Å, b = 6.9118 Å, c = 5.0976 Å
α = 90.00°, β = 91.31°, γ = 90.00°
Element x y z (fractional)
Mn (0.0000, 0.2345, 0.0000)
Mn (0.0000, 0.7655, 0.0000)
Zn (0.5000, 0.0000, 0.5000)
Pb (0.5000, 0.5000, 0.5000)
F (0.1680, 0.5000, 0.8276)
F (0.2016, 0.0000, 0.7973)
F (0.2990, 0.2134, 0.2967)
F (0.2990, 0.7866, 0.2967)
F (0.7010, 0.2134, 0.7033)
F (0.7010, 0.7866, 0.7033)
F (0.7984, 0.0000, 0.2027)
F (0.8320, 0.5000, 0.1724)